This record from the Alexandria database describes crystalline K3Zr3CoS8 at its relaxed geometry. The functional is GGA-PBE.

Values from the calculation:
E_form (uncorrected): -19.5 eV/f.u.
Fermi-level density of states: 8.8 states/eV/f.u.
raw total energy: -88.53 eV/cell
mass density: 3252 kg/m³
V: 24.0 Å³/atom

The structure in extended XYZ format:
```
15
Lattice="7.442 0.002 0.000 -3.719 6.451 -0.028 -0.001 -4.271 7.532" Properties=species:S:1:pos:R:3 pbc="T T T"
K 0.000 0.000 0.000
K -1.860 3.225 -0.014
K 1.861 3.226 -0.014
Zr 3.720 -2.135 3.766
Zr 1.861 1.091 3.752
Zr -1.860 1.090 3.752
Co 0.000 -2.136 3.766
S 0.000 2.161 2.246
S 3.721 0.021 5.258
S 3.722 2.180 2.333
S 0.000 0.001 5.170
S 5.599 -1.075 2.350
S -1.878 3.256 5.153
S 1.842 -1.076 2.350
S 1.879 3.258 5.154
```

---

This record from the Alexandria database describes crystalline LaTbGeS at its relaxed geometry. The functional is GGA-PBE.

Values from the calculation:
E_form (uncorrected): -5.9 eV/f.u.
Fermi-level density of states: 1.7 states/eV/f.u.
raw total energy: -24.16 eV/cell
mass density: 6428 kg/m³
V: 26.0 Å³/atom

The structure in extended XYZ format:
```
4
Lattice="-0.926 -0.164 4.082 -0.656 -3.700 1.851 6.136 -1.722 3.472" Properties=species:S:1:pos:R:3 pbc="T T T"
La 4.530 -4.263 7.304
Tb 2.265 -1.470 2.604
Ge -0.382 -3.942 6.202
S 3.306 -2.860 4.933
```

---

This record from the Alexandria database describes crystalline Tl2TeS at its relaxed geometry. The functional is GGA-PBE.

Values from the calculation:
E_form (uncorrected): 0.1 eV/f.u.
Fermi-level density of states: 3.1 states/eV/f.u.
raw total energy: -11.93 eV/cell
mass density: 8595 kg/m³
V: 27.5 Å³/atom

The structure in extended XYZ format:
```
4
Lattice="0.000 3.801 3.801 3.801 0.000 3.801 3.801 3.801 0.000" Properties=species:S:1:pos:R:3 pbc="T T T"
Tl 1.900 1.900 1.900
Tl 5.701 5.701 5.701
Te 3.801 3.801 3.801
S 0.000 0.000 0.000
```

---

This record from the Alexandria database describes crystalline BaMgSn3 at its relaxed geometry. The functional is GGA-PBE.

Values from the calculation:
ΔH_f (0 K): -0.53 eV per formula unit
Fermi-level density of states: 3.3 states/eV/f.u.
raw total energy: -16.05 eV/cell
mass density: 5149 kg/m³
V: 33.4 Å³/atom

The structure in extended XYZ format:
```
5
Lattice="-4.909 0.195 2.488 -1.027 -5.162 -1.620 2.274 -1.908 4.638" Properties=species:S:1:pos:R:3 pbc="T T T"
Mg 0.000 0.000 0.000
Ba -1.830 -3.437 2.753
Sn -0.513 -2.581 -0.810
Sn 1.137 -0.954 2.319
Sn -2.454 0.098 1.244
```

---

This record from the Alexandria database describes crystalline Pr8Os2Rh at its relaxed geometry. The functional is GGA-PBE.

Values from the calculation:
ΔH_f (0 K): -1.00 eV per formula unit
Fermi-level density of states: 10.9 states/eV/f.u.
raw total energy: -69.04 eV/cell
mass density: 8100 kg/m³
V: 30.0 Å³/atom

The structure in extended XYZ format:
```
11
Lattice="6.218 0.042 -1.058 -2.044 6.908 -2.948 -0.170 -0.168 7.780" Properties=species:S:1:pos:R:3 pbc="T T T"
Pr 2.933 2.393 -0.999
Pr 3.425 0.534 1.820
Pr 0.347 2.454 1.558
Pr 5.591 1.361 4.471
Pr 4.507 5.456 -1.738
Pr 3.521 4.379 2.273
Pr 0.355 6.279 2.016
Pr 0.847 4.421 4.833
Os 1.567 4.774 -0.118
Os 2.280 2.080 3.966
Rh 0.788 0.049 -0.105
```

---

This record from the Alexandria database describes crystalline Dy4CdIrRh2 at its relaxed geometry. The functional is GGA-PBE.

Values from the calculation:
ΔH_f (0 K): -5.72 eV per formula unit
Fermi-level density of states: 3.9 states/eV/f.u.
raw total energy: -48.61 eV/cell
mass density: 11209 kg/m³
V: 21.5 Å³/atom

The structure in extended XYZ format:
```
8
Lattice="4.941 0.000 0.000 2.470 4.279 0.000 2.470 1.426 8.132" Properties=species:S:1:pos:R:3 pbc="T T T"
Dy 4.941 2.852 6.948
Dy 7.411 4.279 3.174
Dy 2.470 1.426 4.958
Dy 4.941 2.852 1.183
Cd 0.000 0.000 0.000
Ir 4.941 2.852 4.066
Rh 7.411 4.279 6.138
Rh 2.470 1.426 1.994
```

---

This record from the Alexandria database describes crystalline Re2NiW at its relaxed geometry. The functional is GGA-PBE.

Values from the calculation:
ΔH_f (0 K): 0.89 eV per formula unit
Fermi-level density of states: 4.5 states/eV/f.u.
raw total energy: -42.74 eV/cell
mass density: 17525 kg/m³
V: 14.6 Å³/atom

The structure in extended XYZ format:
```
4
Lattice="9.118 0.004 0.002 8.706 2.710 0.002 8.706 1.325 2.364" Properties=species:S:1:pos:R:3 pbc="T T T"
Ni 19.897 3.029 1.776
Re 0.132 0.020 0.012
Re 13.132 1.999 1.172
W 6.632 1.010 0.592
```

---

This record from the Alexandria database describes crystalline CaPd2C at its relaxed geometry. The functional is GGA-PBE.

Values from the calculation:
ΔH_f (0 K): -0.11 eV per formula unit
Fermi-level density of states: 1.2 states/eV/f.u.
raw total energy: -86.88 eV/cell
mass density: 6695 kg/m³
V: 16.4 Å³/atom

The structure in extended XYZ format:
```
16
Lattice="6.695 0.000 -0.009 0.000 5.383 0.000 -6.369 0.000 7.302" Properties=species:S:1:pos:R:3 pbc="T T T"
Ca 2.014 2.431 2.784
Ca -1.688 2.431 4.509
Ca -1.171 5.122 6.436
Ca 1.497 5.122 0.858
C 3.753 0.453 1.621
C -3.427 0.453 5.672
C 0.568 3.144 5.272
C -0.243 3.144 2.021
Pd 0.000 2.693 0.000
Pd -3.185 0.002 3.651
Pd -1.106 1.232 1.985
Pd 1.432 1.232 5.309
Pd -4.291 3.923 5.636
Pd 4.617 3.923 1.658
Pd 0.163 4.556 3.647
Pd 3.348 1.865 -0.005
```

---

This record from the Alexandria database describes crystalline Hg2SbPb2 at its relaxed geometry. The functional is GGA-PBE.

Values from the calculation:
E_form (uncorrected): 0.6 eV/f.u.
Fermi-level density of states: 2.4 states/eV/f.u.
raw total energy: -23.13 eV/cell
mass density: 10545 kg/m³
V: 29.5 Å³/atom

The structure in extended XYZ format:
```
10
Lattice="9.208 0.000 0.000 0.000 9.208 0.000 0.000 0.000 3.482" Properties=species:S:1:pos:R:3 pbc="T T T"
Pb 2.875 7.479 0.000
Pb 7.479 6.333 0.000
Pb 6.333 1.729 0.000
Pb 1.729 2.875 0.000
Sb 0.000 0.000 0.000
Sb 4.604 4.604 0.000
Hg 1.064 5.668 1.741
Hg 5.668 8.144 1.741
Hg 8.144 3.540 1.741
Hg 3.540 1.064 1.741
```

---

This record from the Alexandria database describes crystalline Li3B4C4 at its relaxed geometry. The functional is GGA-PBE.

Values from the calculation:
ΔH_f (0 K): -2.40 eV per formula unit
Fermi-level density of states: 2.7 states/eV/f.u.
raw total energy: -143.50 eV/cell
mass density: 1998 kg/m³
V: 8.5 Å³/atom

The structure in extended XYZ format:
```
22
Lattice="-2.509 7.526 -3.388 3.313 -5.493 -5.804 -2.486 -1.029 -0.445" Properties=species:S:1:pos:R:3 pbc="T T T"
C 1.320 -0.404 -6.439
C -0.466 2.325 -2.772
C 0.846 -1.254 -1.827
C -0.096 3.410 -7.349
C -0.143 -1.383 -4.364
C 1.424 -4.245 -6.498
C -3.085 5.195 -3.137
C -1.559 2.431 -5.274
B -0.579 1.935 -1.241
B 1.409 0.028 -7.939
B -0.220 3.050 -5.825
B 1.012 -0.982 -3.382
B 1.259 -4.518 -4.943
B -0.019 -1.023 -5.888
B -1.648 1.999 -3.774
B -2.972 5.585 -4.667
Li -2.486 3.221 -1.916
Li -1.018 0.012 -2.699
Li 0.409 -3.249 -3.131
Li 1.861 -2.251 -5.194
Li 0.779 2.015 -9.014
Li -1.065 4.299 -3.992
```

---

This record from the Alexandria database describes crystalline B2C at its relaxed geometry. The functional is GGA-PBE.

Values from the calculation:
ΔH_f (0 K): 1.30 eV per formula unit
Fermi-level density of states: 0.2 states/eV/f.u.
raw total energy: -85.10 eV/cell
mass density: 2678 kg/m³
V: 7.0 Å³/atom

The structure in extended XYZ format:
```
12
Lattice="1.337 6.742 0.140 -1.337 6.742 0.140 0.000 1.582 4.659" Properties=species:S:1:pos:R:3 pbc="T T T"
B 0.000 4.345 1.724
B 0.000 6.236 1.360
B 0.000 6.895 3.035
B 0.000 8.170 1.904
B 0.000 8.829 3.579
B 0.000 10.720 3.215
B 0.000 12.629 0.369
B 0.000 2.436 4.570
C 0.000 3.292 0.508
C 0.000 11.773 4.431
C 0.000 13.174 3.892
C 0.000 1.891 1.048
```

---

This record from the Alexandria database describes crystalline CaLaNdY at its relaxed geometry. The functional is GGA-PBE.

Values from the calculation:
ΔH_f (0 K): 0.43 eV per formula unit
Fermi-level density of states: 6.7 states/eV/f.u.
raw total energy: -17.73 eV/cell
mass density: 4705 kg/m³
V: 36.4 Å³/atom

The structure in extended XYZ format:
```
4
Lattice="-5.549 1.836 0.830 -4.388 -2.331 -3.187 -3.938 -3.571 2.567" Properties=species:S:1:pos:R:3 pbc="T T T"
Y -10.406 -3.050 0.157
Ca -3.469 -1.017 0.052
Nd 0.000 0.000 0.000
La -6.937 -2.033 0.105
```

---

> The highest raw total energy belongs to which entry?

Tl2TeS